This record from Alexandria via LeMat-Bulk describes an optimized crystal structure of Ac3PrNi. The functional is GGA-PBE.

- Energy relative to the lowest polymorph listed for this composition: 49 meV per atom
- Total magnetic moment: 0.0 μB per cell
- Energy relative to the elements: 0 meV per atom
- E_tot: -4.58 eV/atom

a b c (Å): 5.787 5.787 5.787
angles (deg): 90.00 90.00 90.00
Fractional coordinates of all 5 atoms:
Pr (0.500, 0.500, 0.500)
Ac (0.000, 0.500, 0.000)
Ac (0.000, 0.000, 0.500)
Ac (0.500, 0.000, 0.000)
Ni (0.000, 0.000, 0.000)